Computed, not measured: Eu3Ag2 after structural relaxation at the PBEsol level of DFT.

Its density of states at the Fermi level is 14.28 states/eV/f.u. The calculation puts the calculated volume at 285.7 Å³ per cell. Its energy of formation is -0.27 eV/atom. The magnetization is 4.387 μB per atom.

Lattice parameters (Å, degrees): 8.1544 8.1544 4.2967 90.00 90.00 90.00
Atoms (fractional coordinates):
Eu 0.0000 0.0000 0.0000
Eu 0.1668 0.3332 0.5000
Eu 0.3332 0.8332 0.5000
Eu 0.5000 0.5000 0.0000
Eu 0.6668 0.1668 0.5000
Eu 0.8332 0.6668 0.5000
Ag 0.1244 0.6244 0.0000
Ag 0.3756 0.1244 0.0000
Ag 0.6244 0.8756 0.0000
Ag 0.8756 0.3756 0.0000